# 1
{"formula": "CsVGa2Sn", "functional": "PBE", "state": "relaxed", "dos_at_fermi_per_ev_fu": 3.090, "vol_a3_per_atom": 30.954, "formation_energy_ev_per_atom": 0.752, "dft_energy_ev_per_atom": -3.25, "lattice": [[5.156, 0.000, 0.000], [0.000, 5.822, 0.000], [0.000, 0.000, 5.156]], "species": ["Cs", "Sn", "Ga", "Ga", "V"], "frac_coords": [[0.000, 0.500, 0.000], [0.500, 0.500, 0.500], [0.000, 0.000, 0.500], [0.500, 0.000, 0.000], [0.000, 0.000, 0.000]]}

---

# 2
{"formula": "Cs2ZnGa3Sn4", "functional": "PBE", "state": "relaxed", "dos_at_fermi_per_ev_fu": 5.634, "vol_a3_per_atom": 29.330, "formation_energy_ev_per_atom": -0.121, "dft_energy_ev_per_atom": -2.93, "lattice": [[-3.049, -4.007, -0.362], [2.296, -2.106, 3.973], [-7.532, 5.094, 7.052]], "species": ["Cs", "Cs", "Zn", "Ga", "Ga", "Ga", "Sn", "Sn", "Sn", "Sn"], "frac_coords": [[0.500, 0.000, 0.258], [0.000, 0.500, 0.742], [0.500, 0.500, 0.500], [0.000, 0.000, 0.500], [0.500, 0.000, 0.868], [0.000, 0.500, 0.132], [0.500, 0.500, 0.000], [0.000, 0.000, 0.000], [0.500, 0.000, 0.621], [0.000, 0.500, 0.379]]}

---

What is the formula in the first record? CsVGa2Sn